1.
Computed, not measured: a relaxed structure of TeRu2Rh at the PBE level of DFT.

abc: 2.9618 3.7828 5.7388
angles: 90.00 90.00 90.00
With the nearest neighbours (Å) after each atom.
Fractional positions:
Te: 0.0000 0.0000 0.0000  6 Ru 2.81-2.93, 4 Rh 2.83, 2 Te 2.96
Ru: 0.0000 0.0000 0.5107  6 Ru 2.68-2.96, 4 Rh 2.80, 2 Te 2.81-2.93
Ru: 0.5000 0.5000 0.7173  1 Rh 2.63, 4 Ru 2.68, 4 Te 2.90
Rh: 0.5000 0.5000 0.2599  5 Ru 2.63-2.80, 4 Te 2.83

Summary:
uncorrected formation energy: 0.2821 eV/atom
space group: Pmm2 (25)


2.
Computed, not measured: a relaxed structure of TeRuRh2 at the PBE level of DFT.

abc: 7.0233 7.0233 7.0233
angles: 132.17 132.17 69.95
With the nearest neighbours (Å) after each atom.
Fractional positions:
Te: 0.0000 0.0000 0.0000  4 Rh 2.57
Te: 0.7500 0.2500 0.5000  4 Rh 2.57
Ru: 0.2500 0.7500 0.5000  4 Rh 2.39
Ru: 0.5000 0.5000 0.0000  4 Rh 2.39
Rh: 0.1521 0.6250 0.0271  2 Ru 2.39, 2 Te 2.57
Rh: 0.3750 0.4021 0.5271  2 Ru 2.39, 2 Te 2.57
Rh: 0.5979 0.1250 0.9729  2 Ru 2.39, 2 Te 2.57
Rh: 0.8750 0.8479 0.4729  2 Ru 2.39, 2 Te 2.57

Summary:
uncorrected formation energy: 0.6212 eV/atom
space group: I-42d (122)


3.
Computed, not measured: a relaxed structure of TeRuRh2 at the PBE level of DFT.

abc: 3.0073 4.0290 5.5758
angles: 90.00 105.58 90.00
With the nearest neighbours (Å) after each atom.
Fractional positions:
Te: 0.0000 0.0000 0.0000  2 Ru 2.60, 5 Rh 2.60-2.74
Ru: 0.8450 0.5000 0.6935  2 Te 2.60, 5 Rh 2.64-2.75
Rh: 0.2406 0.0000 0.4845  1 Te 2.60, 4 Ru 2.75
Rh: 0.5996 0.5000 0.2022  1 Ru 2.64, 4 Te 2.74, 4 Rh 2.94

Summary:
uncorrected formation energy: 0.2251 eV/atom
space group: Pm (6)